The following is a PBE-GGA calculation of a geometry-optimized Sc6Ga2Sn structure, from Alexandria via LeMat-Bulk.

Summary:
- formation enthalpy at 0 K (eV per formula unit) = -4.38
- size of the total moment (μB per formula unit) = 0.0
- DOS(E_F) (states/eV/cell) = 35.0
- density (g/cm³) = 4.4

abc: 8.899 8.990 10.002
angles: 90.00 90.00 90.00
Space group Immm (No. 71)
Inequivalent atoms, fractional coordinates:
Sc (0.000, 0.204, 0.180)
Sc (0.187, 0.220, 0.500)
Sc (0.204, 0.500, 0.256)
Ga (0.000, 0.000, 0.376)
Ga (0.151, 0.000, 0.000)
Sn (0.000, 0.500, 0.000)
Sn (0.000, 0.500, 0.500)